Record 1
POsRu | PBE-GGA | relaxed

Computed properties:
* SG: P-6m2, No. 187
* formation enthalpy at 0 K: 0.08 eV per formula unit
* excess energy over the best structure of this formula in the dataset: 0.101 eV/atom
* total moment: 0.00 Bohr magnetons per cell

Lattice parameters (Å, degrees): 4.059 4.059 2.874 90.00 90.00 120.00
Sites, in units of the cell vectors:
Os1 0.000 0.000 0.167
Ru1 0.333 0.667 0.667
P1 0.667 0.333 0.166

Record 2
P3OsRu | PBE-GGA | relaxed

Computed properties:
* SG: Pm-3m, No. 221
* formation enthalpy at 0 K: 5.74 eV per formula unit
* excess energy over the best structure of this formula in the dataset: 0.000 eV/atom
* total moment: 0.00 Bohr magnetons per cell

Lattice parameters (Å, degrees): 4.526 4.526 4.526 90.00 90.00 90.00
Sites, in units of the cell vectors:
P1 0.500 0.000 0.000
P2 0.000 0.000 0.500
P3 0.000 0.500 0.000
Ru1 0.500 0.500 0.500
Os1 0.000 0.000 0.000

Record 3
POsRu | PBE-GGA | relaxed

Computed properties:
* SG: P3m1, No. 156
* formation enthalpy at 0 K: -0.09 eV per formula unit
* excess energy over the best structure of this formula in the dataset: 0.044 eV/atom
* total moment: 0.00 Bohr magnetons per cell

Lattice parameters (Å, degrees): 2.817 2.817 5.872 90.00 90.00 120.00
Sites, in units of the cell vectors:
P1 0.667 0.333 0.334
Os1 0.000 0.000 0.029
Ru1 0.333 0.667 0.637

Record 4
POs2Ru | PBE-GGA | relaxed

Computed properties:
* SG: Pmmm, No. 47
* formation enthalpy at 0 K: 1.66 eV per formula unit
* total moment: 0.00 Bohr magnetons per cell

Lattice parameters (Å, degrees): 2.786 3.658 5.426 90.00 90.00 90.00
Sites, in units of the cell vectors:
Ru1 0.500 0.500 0.500
Os1 0.000 0.000 0.245
Os2 0.000 0.000 0.755
P1 0.500 0.500 0.000

Record 5
POs2Ru | PBE-GGA | relaxed

Computed properties:
* SG: Pmmm, No. 47
* formation enthalpy at 0 K: 1.80 eV per formula unit
* total moment: 0.01 Bohr magnetons per cell

Lattice parameters (Å, degrees): 2.794 4.490 4.490 90.00 90.00 90.00
Sites, in units of the cell vectors:
Os1 0.500 0.500 0.000
Os2 0.000 0.000 0.000
Ru1 0.000 0.500 0.500
P1 0.500 0.000 0.500

Record 6
POs2Ru | PBE-GGA | relaxed

Computed properties:
* SG: P4/mmm, No. 123
* formation enthalpy at 0 K: 1.78 eV per formula unit
* total moment: 0.00 Bohr magnetons per cell

Lattice parameters (Å, degrees): 4.413 4.413 2.847 90.00 90.00 90.00
Sites, in units of the cell vectors:
Os1 0.500 0.000 0.000
Os2 0.000 0.500 0.000
Ru1 0.000 0.000 0.500
P1 0.500 0.500 0.500

Record 7
POs2Ru | PBE-GGA | relaxed

Computed properties:
* SG: I-42d, No. 122
* formation enthalpy at 0 K: 2.80 eV per formula unit
* total moment: 0.00 Bohr magnetons per cell

Lattice parameters (Å, degrees): 5.406 5.406 6.563 65.68 65.68 90.00
Sites, in units of the cell vectors:
P1 0.500 0.500 0.000
P2 0.250 0.750 0.500
Os1 0.875 0.857 0.750
Os2 0.143 0.625 0.250
Os3 0.607 0.125 0.250
Os4 0.375 0.393 0.750
Ru1 0.750 0.250 0.500
Ru2 0.000 0.000 0.000

Record 8
POs2Ru | PBE-GGA | relaxed

Computed properties:
* SG: Pmm2, No. 25
* formation enthalpy at 0 K: 0.96 eV per formula unit
* total moment: 0.00 Bohr magnetons per cell

Lattice parameters (Å, degrees): 2.790 3.692 5.572 90.00 90.00 90.00
Sites, in units of the cell vectors:
Os1 0.500 0.500 0.218
Os2 0.000 0.000 0.012
P1 0.000 0.000 0.571
Ru1 0.500 0.500 0.699